Below is a geometry-optimized MgVPO5 structure, with properties calculated at the PBE with a Hubbard U level.

Properties
Crystal system: triclinic
E_tot: -7.284 eV/atom
SG: P-1 (2)
Total magnetic moment: 2.000 μB/f.u.

abc: 5.2912 5.5865 7.1167
angles: 107.07 107.04 97.29
With the nearest neighbours (Å) after each atom.
Positions (direct):
Mg: 0.7505 0.6187 0.7533  5 O 1.94-2.16
Mg: 0.2495 0.3813 0.2467  5 O 1.94-2.16
V: 0.5000 0.0000 0.0000  6 O 1.93-2.16
V: 0.5000 0.0000 0.5000  4 O 1.92-2.08
P: 0.1723 0.3826 0.7601  4 O 1.55-1.57
P: 0.8277 0.6174 0.2399  4 O 1.55-1.57
O: 0.3640 0.3450 0.6292  1 P 1.56
O: 0.2561 0.2693 0.9368  1 P 1.55
O: 0.6360 0.6550 0.3708  1 P 1.56
O: 0.7439 0.7307 0.0632  1 P 1.55
O: 0.8259 0.3256 0.1474  1 P 1.57
O: 0.1321 0.7274 0.3792  1 P 1.55
O: 0.1741 0.6744 0.8526  1 P 1.57
O: 0.8679 0.2726 0.6208  1 P 1.55
O: 0.4034 0.0846 0.2494  2 V 1.92-1.93, 1 Mg 1.94
O: 0.5966 0.9154 0.7506  2 V 1.92-1.93, 1 Mg 1.94